This record from the Alexandria database describes an optimized crystal structure of Sr3ZnCu2O6. The functional is PBE-GGA.

It has space group P-3m1 (No. 164), with a = 5.8175 Å, b = 5.8175 Å, c = 6.3553 Å, α = 90.00°, β = 90.00° and γ = 120.00°. The inequivalent atoms are Sr at (0.0000, 0.0000, 0.0000), Sr at (0.3333, 0.6667, 0.6340), Zn at (0.0000, 0.0000, 0.5000), Cu at (0.3333, 0.6667, 0.1809) and O at (0.1640, 0.3280, 0.2996).

The value obtained for the energy relative to the elements, uncorrected is -18.56 eV/f.u.

=====

This record from the Alexandria database describes an optimized crystal structure of RbAlSbI2. The functional is PBE-GGA.

It has space group P4/mmm (No. 123), with a = 6.0041 Å, b = 6.0041 Å, c = 5.4046 Å, α = 90.00°, β = 90.00° and γ = 90.00°. The inequivalent atoms are Rb at (0.0000, 0.0000, 0.0000), Al at (0.5000, 0.5000, 0.5000), Sb at (0.5000, 0.5000, 0.0000) and I at (0.0000, 0.5000, 0.5000).

The value obtained for the energy relative to the elements, uncorrected is -1.88 eV/f.u. As for the excess energy over the best structure of this formula in the dataset: 0.0 meV/atom.

=====

This record from the Alexandria database describes an optimized crystal structure of Pm2H8Os. The functional is PBE-GGA.

It has space group C2/m (No. 12), with a = 13.5953 Å, b = 3.7036 Å, c = 4.3335 Å, α = 90.00°, β = 108.56° and γ = 90.00°. The inequivalent atoms are Pm at (0.1436, 0.0000, 0.1440), H at (0.9999, 0.0000, 0.3199), H at (0.1085, 0.5000, 0.8361), H at (0.1099, 0.5000, 0.3877), H at (0.2407, 0.0000, 0.7411) and Os at (0.0000, 0.5000, 0.5000).

The value obtained for the total energy is -102.38 eV/cell.

=====

This record from the Alexandria database describes an optimized crystal structure of LiPu2Zn. The functional is PBE-GGA.

It has space group P4/mmm (No. 123), with a = 3.8464 Å, b = 3.8464 Å, c = 6.1394 Å, α = 90.00°, β = 90.00° and γ = 90.00°. The inequivalent atoms are Li at (0.0000, 0.0000, 0.0000), Pu at (0.5000, 0.5000, 0.2595) and Zn at (0.0000, 0.0000, 0.5000).

The formation energy is 0.18 eV per atom. As for the excess energy over the best structure of this formula in the dataset: 0.0 meV/atom.

=====

This record from the Alexandria database describes an optimized crystal structure of AlCdN2. The functional is PBE-GGA.

It has space group I-42d (No. 122), with a = 4.8504 Å, b = 4.8504 Å, c = 9.1880 Å, α = 90.00°, β = 90.00° and γ = 90.00°. The inequivalent atoms are Al at (0.0000, 0.0000, 0.0000), Cd at (0.0000, 0.0000, 0.5000) and N at (0.1830, 0.2500, 0.1250).

The value obtained for the energy relative to the elements, uncorrected is -0.46 eV/f.u. As for the excess energy over the best structure of this formula in the dataset: 0.0 meV/atom.

=====

This record from the Alexandria database describes an optimized crystal structure of Ac2HoRh. The functional is PBE-GGA.

It has space group R-3m (No. 166, hexagonal axes), with a = 5.5458 Å, b = 5.5458 Å, c = 13.6723 Å, α = 90.00°, β = 90.00° and γ = 120.00°. The inequivalent atoms are Ac at (0.0000, 0.0000, 0.2494), Ho at (0.0000, 0.0000, 0.0000) and Rh at (0.0000, 0.0000, 0.5000).

The formation energy is 0.07 eV per atom. As for the excess energy over the best structure of this formula in the dataset: 257.7 meV/atom.

=====

This record from the Alexandria database describes an optimized crystal structure of Be2FePdPb. The functional is PBE-GGA.

It has space group P4/mmm (No. 123), with a = 4.2023 Å, b = 4.2023 Å, c = 4.6618 Å, α = 90.00°, β = 90.00° and γ = 90.00°. The inequivalent atoms are Be at (0.0000, 0.5000, 0.0000), Fe at (0.0000, 0.0000, 0.0000), Pd at (0.0000, 0.0000, 0.5000) and Pb at (0.5000, 0.5000, 0.5000).

The formation energy is 0.69 eV per atom.

=====

This record from the Alexandria database describes an optimized crystal structure of Li5InAu4. The functional is PBE-GGA.

It has space group P4/mmm (No. 123), with a = 3.2625 Å, b = 3.2625 Å, c = 15.0284 Å, α = 90.00°, β = 90.00° and γ = 90.00°. The inequivalent atoms are Li at (0.0000, 0.0000, 0.0000), Li at (0.0000, 0.0000, 0.1939), Li at (0.0000, 0.0000, 0.3831), In at (0.5000, 0.5000, 0.5000), Au at (0.5000, 0.5000, 0.0972) and Au at (0.5000, 0.5000, 0.2928).

The formation energy is -0.50 eV per atom. As for the excess energy over the best structure of this formula in the dataset: 0.0 meV/atom.

=====

This record from the Alexandria database describes an optimized crystal structure of SmAlZn. The functional is PBE-GGA.

It has space group P4/mmm (No. 123), with a = 3.4543 Å, b = 3.4543 Å, c = 10.8485 Å, α = 90.00°, β = 90.00° and γ = 90.00°. The inequivalent atoms are Sm at (0.0000, 0.0000, 0.1909), Al at (0.0000, 0.0000, 0.5000), Al at (0.5000, 0.5000, 0.0000) and Zn at (0.5000, 0.5000, 0.3760).

The formation energy is -0.24 eV per atom.

=====

This record from the Alexandria database describes an optimized crystal structure of AcGeAu3. The functional is PBE-GGA.

It has space group Pm-3m (No. 221), with a = 5.0204 Å, b = 5.0204 Å, c = 5.0204 Å, α = 90.00°, β = 90.00° and γ = 90.00°. The inequivalent atoms are Ac at (0.0000, 0.0000, 0.0000), Ge at (0.5000, 0.5000, 0.5000) and Au at (0.0000, 0.5000, 0.5000).

The formation energy is -0.40 eV per atom. As for the excess energy over the best structure of this formula in the dataset: 189.4 meV/atom.

=====

This record from the Alexandria database describes an optimized crystal structure of K2AlC2O6. The functional is PBE-GGA.

It has space group P-3m1 (No. 164), with a = 4.9435 Å, b = 4.9435 Å, c = 7.5792 Å, α = 90.00°, β = 90.00° and γ = 120.00°. The inequivalent atoms are K at (0.3333, 0.6667, 0.3143), Al at (0.0000, 0.0000, 0.0000), C at (0.3333, 0.6667, 0.8651) and O at (0.1811, 0.3622, 0.8512).

The value obtained for the energy relative to the elements, uncorrected is -18.20 eV/f.u.

=====

This record from the Alexandria database describes an optimized crystal structure of Ac6Nd2Hg. The functional is PBE-GGA.

It has space group P-62m (No. 189), with a = 10.2851 Å, b = 10.2851 Å, c = 3.9789 Å, α = 90.00°, β = 90.00° and γ = 120.00°. The inequivalent atoms are Ac at (0.0000, 0.2679, 0.0000), Ac at (0.0000, 0.6157, 0.5000), Nd at (0.3333, 0.6667, 0.0000) and Hg at (0.0000, 0.0000, 0.5000).

The formation energy is -0.09 eV per atom.